Entry one
A plane-wave DFT calculation with PBE was carried out for an optimized crystal structure of RhN.

Calculated values
Theoretical density, g/cm³: 8.3
DOS(E_F), states/eV/f.u.: 2.34

a = 6.744 Å, b = 2.778 Å, c = 5.205 Å
α = 90.00°, β = 105.82°, γ = 90.00°
Element x y z (fractional)
Rh1 0.823 0.000 0.130
Rh2 0.177 0.500 0.370
Rh3 0.177 0.000 0.870
Rh4 0.823 0.500 0.630
N1 0.408 0.000 0.466
N2 0.592 0.000 0.534
N3 0.592 0.500 0.034
N4 0.408 0.500 0.966

***

Entry two
A plane-wave DFT calculation with PBE was carried out for an optimized crystal structure of RhN.

Calculated values
Theoretical density, g/cm³: 7.8
DOS(E_F), states/eV/f.u.: 1.34

a = 3.271 Å, b = 3.271 Å, c = 3.271 Å
α = 60.00°, β = 60.00°, γ = 60.00°
Element x y z (fractional)
N1 0.250 0.250 0.250
Rh1 0.000 0.000 0.000

***

Which is most stable? The ranking, best first, is entry one, entry two.

***

Entry one
A plane-wave DFT calculation with PBE was carried out for an optimized crystal structure of RhN.

Calculated values
Theoretical density, g/cm³: 8.0
DOS(E_F), states/eV/f.u.: 0.76

a = 8.216 Å, b = 8.216 Å, c = 2.877 Å
α = 90.00°, β = 90.00°, γ = 90.00°
Element x y z (fractional)
Rh1 0.579 0.722 0.000
Rh2 0.278 0.579 0.000
Rh3 0.079 0.222 0.500
Rh4 0.222 0.921 0.500
Rh5 0.421 0.278 0.000
Rh6 0.921 0.778 0.500
Rh7 0.722 0.421 0.000
Rh8 0.778 0.079 0.500
N1 0.183 0.359 0.000
N2 0.317 0.141 0.500
N3 0.141 0.683 0.500
N4 0.683 0.859 0.500
N5 0.641 0.183 0.000
N6 0.859 0.317 0.500
N7 0.359 0.817 0.000
N8 0.817 0.641 0.000

***

Entry two
A plane-wave DFT calculation with PBE was carried out for an optimized crystal structure of RhN.

Calculated values
Theoretical density, g/cm³: 9.4
DOS(E_F), states/eV/f.u.: 4.31

a = 3.080 Å, b = 3.080 Å, c = 3.080 Å
α = 60.00°, β = 60.00°, γ = 60.00°
Element x y z (fractional)
Rh1 0.000 0.000 0.000
N1 0.500 0.500 0.500

***

Which is most stable? The ranking, best first, is entry one, entry two.

***

Entry one
A plane-wave DFT calculation with PBE was carried out for an optimized crystal structure of RhN.

Calculated values
Theoretical density, g/cm³: 6.8
DOS(E_F), states/eV/f.u.: 1.08

a = 7.803 Å, b = 7.803 Å, c = 3.246 Å
α = 90.00°, β = 90.00°, γ = 120.00°
Element x y z (fractional)
Rh1 0.662 0.554 0.250
Rh2 0.554 0.892 0.750
Rh3 0.338 0.446 0.750
Rh4 0.446 0.108 0.250
Rh5 0.892 0.338 0.250
Rh6 0.108 0.662 0.750
N1 0.060 0.372 0.750
N2 0.688 0.060 0.250
N3 0.312 0.940 0.750
N4 0.628 0.688 0.750
N5 0.372 0.312 0.250
N6 0.940 0.628 0.250

***

Entry two
A plane-wave DFT calculation with PBE was carried out for an optimized crystal structure of RhN.

Calculated values
Theoretical density, g/cm³: 7.7
DOS(E_F), states/eV/f.u.: 2.09

a = 2.833 Å, b = 7.656 Å, c = 5.320 Å
α = 90.00°, β = 119.47°, γ = 90.00°
Element x y z (fractional)
Rh1 0.000 0.250 0.750
Rh2 0.000 0.250 0.250
Rh3 0.000 0.750 0.750
Rh4 0.000 0.750 0.250
N1 0.018 0.000 0.120
N2 0.982 0.000 0.880
N3 0.982 0.500 0.380
N4 0.018 0.500 0.620

***

Entry three
A plane-wave DFT calculation with PBE was carried out for an optimized crystal structure of RhN.

Calculated values
Theoretical density, g/cm³: 8.4
DOS(E_F), states/eV/f.u.: 0.31

a = 3.031 Å, b = 3.757 Å, c = 4.063 Å
α = 90.00°, β = 90.00°, γ = 90.00°
Element x y z (fractional)
Rh1 0.000 0.663 0.397
Rh2 0.500 0.337 0.897
N1 0.000 0.190 0.607
N2 0.500 0.810 0.107

***

Which is most stable? The ranking, best first, is entry three, entry two, entry one.